{"formula": "CaTaCo2", "functional": "PBE", "state": "optimized geometry", "cell": [[4.4366, 0.0000, 0.0000], [2.2183, 3.8422, 0.0000], [2.2183, 1.2807, 3.6225]], "species": ["Ca", "Co", "Co", "Ta"], "frac_coords": [[0.5000, 0.5000, 0.5000], [0.0000, 0.0000, 0.0000], [0.2500, 0.2500, 0.2500], [0.7500, 0.7500, 0.7500]], "dos_ef_per_ev_atom": 1.3324, "formation_enthalpy_0k_mev_per_atom": 693, "magnetic_moment_mub_per_cell": 2.1, "final_energy_ev_per_atom": -6.32}


{"formula": "As2Au", "functional": "PBE", "state": "optimized geometry", "cell": [[1.5159, 6.0173, -0.9299], [-1.5159, 6.0173, -0.9299], [0.0000, 2.1443, 7.9245]], "species": ["As", "As", "As", "As", "Au", "Au"], "frac_coords": [[0.9085, 0.9085, 0.9965], [0.4078, 0.4078, 0.2679], [0.5774, 0.5774, 0.8153], [0.6102, 0.6102, 0.2828], [0.0902, 0.0902, 0.5483], [0.2392, 0.2392, 0.9226]], "dos_ef_per_ev_atom": 0.2862, "formation_enthalpy_0k_mev_per_atom": 198, "magnetic_moment_mub_per_cell": 0.0, "final_energy_ev_per_atom": -3.99}


{"formula": "NaCaTh", "functional": "PBE", "state": "optimized geometry", "cell": [[5.7147, 0.0143, -0.6515], [2.8672, 4.9434, -0.6515], [1.1005, 0.6358, 7.3111]], "species": ["Th", "Th", "Ca", "Ca", "Na", "Na"], "frac_coords": [[0.7291, 0.7291, 0.7334], [0.0241, 0.0241, 0.5739], [0.7063, 0.7063, 0.2662], [0.0469, 0.0469, 0.0411], [0.3659, 0.3659, 0.4093], [0.3873, 0.3873, 0.8981]], "dos_ef_per_ev_atom": 1.3101, "formation_enthalpy_0k_mev_per_atom": 411, "magnetic_moment_mub_per_cell": 0.0, "final_energy_ev_per_atom": -3.17}


{"formula": "Ni2SbAs", "functional": "PBE", "state": "optimized geometry", "cell": [[0.0000, 3.1457, 3.1457], [3.1457, 0.0000, 3.1457], [3.1457, 3.1457, 0.0000]], "species": ["Sb", "As", "Ni", "Ni"], "frac_coords": [[0.5000, 0.5000, 0.5000], [0.0000, 0.0000, 0.0000], [0.2500, 0.2500, 0.2500], [0.7500, 0.7500, 0.7500]], "dos_ef_per_ev_atom": 0.4029, "magnetic_moment_mub_per_cell": 0.0, "final_energy_ev_per_atom": -5.02, "formation_energy_uncorrected_mev_per_atom": 68}


{"formula": "GdAgPd4", "functional": "PBE", "state": "optimized geometry", "cell": [[5.3585, 0.0000, 0.0000], [2.6793, 4.6406, 0.0000], [2.6793, 1.5469, 4.3752]], "species": ["Gd", "Pd", "Pd", "Pd", "Pd", "Ag"], "frac_coords": [[0.2500, 0.2500, 0.2500], [0.6252, 0.6252, 0.1243], [0.6252, 0.1243, 0.6252], [0.6252, 0.6252, 0.6252], [0.1243, 0.6252, 0.6252], [0.0000, 0.0000, 0.0000]], "dos_ef_per_ev_atom": 0.9330, "formation_enthalpy_0k_mev_per_atom": -523, "magnetic_moment_mub_per_cell": 7.1, "final_energy_ev_per_atom": -6.81}


{"formula": "Tb2MgAg6", "functional": "PBE", "state": "optimized geometry", "cell": [[-2.5644, -4.3480, 1.4097], [2.5857, -4.5545, 0.2556], [3.0420, -0.8604, 7.6799]], "species": ["Tb", "Tb", "Mg", "Ag", "Ag", "Ag", "Ag", "Ag", "Ag"], "frac_coords": [[0.5000, 0.8373, 0.8254], [0.5000, 0.1627, 0.1746], [0.0000, 0.0000, 0.5000], [0.1644, 0.8342, 0.1689], [0.8356, 0.4969, 0.1689], [0.8356, 0.1658, 0.8311], [0.1644, 0.5031, 0.8311], [0.3170, 0.3541, 0.5000], [0.6830, 0.6459, 0.5000]], "dos_ef_per_ev_atom": 0.5898, "formation_enthalpy_0k_mev_per_atom": -213, "magnetic_moment_mub_per_cell": 0.0, "final_energy_ev_per_atom": -3.32}


{"formula": "Pm4CdAu", "functional": "PBE", "state": "optimized geometry", "cell": [[-1.7112, 6.1643, 0.6644], [-2.1629, -5.2475, 7.3345], [7.8398, 0.8887, -1.2949]], "species": ["Pm", "Pm", "Pm", "Pm", "Pm", "Pm", "Pm", "Pm", "Cd", "Cd", "Au", "Au"], "frac_coords": [[0.1024, 0.2046, 0.8234], [0.7639, 0.7113, 0.6306], [0.2210, 0.6188, 0.8234], [0.3667, 0.9192, 0.6306], [0.6333, 0.0808, 0.3694], [0.7790, 0.3812, 0.1766], [0.2361, 0.2887, 0.3694], [0.8976, 0.7954, 0.1766], [0.3670, 0.6170, 0.2341], [0.6330, 0.3830, 0.7659], [0.2539, 0.0039, 0.0078], [0.7461, 0.9961, 0.9922]], "dos_ef_per_ev_atom": 1.3284, "formation_enthalpy_0k_mev_per_atom": -294, "magnetic_moment_mub_per_cell": 0.0, "final_energy_ev_per_atom": -4.16}


{"formula": "ZrTl5S4", "functional": "PBE", "state": "optimized geometry", "cell": [[-1.7387, 0.8307, -3.3458], [-0.6396, -8.2528, -1.7166], [-6.7722, 1.4642, 6.1105]], "species": ["Zr", "Tl", "Tl", "Tl", "Tl", "Tl", "S", "S", "S", "S"], "frac_coords": [[0.5000, 0.0000, 0.0000], [0.8276, 0.6694, 0.6553], [0.8365, 0.1995, 0.6730], [0.1635, 0.8005, 0.3270], [0.5000, 0.5000, 0.0000], [0.1724, 0.3306, 0.3447], [0.3522, 0.9449, 0.7044], [0.9932, 0.7861, 0.9864], [0.6478, 0.0551, 0.2956], [0.0068, 0.2139, 0.0136]], "dos_ef_per_ev_atom": 0.3160, "magnetic_moment_mub_per_cell": 0.0, "final_energy_ev_per_atom": -4.34, "formation_energy_uncorrected_mev_per_atom": -647}


- What is the formula in the fourth record?
  Ni2SbAs